Compound: TbPuAl2
Source: Alexandria via LeMat-Bulk
Functional: PBE-GGA
Structure: relaxed

a = 5.1156 Å, b = 5.1156 Å, c = 3.5695 Å
α = 90.00°, β = 90.00°, γ = 90.00°
Element x y z (fractional)
Tb 0.0000 0.0000 0.0000
Pu 0.5000 0.5000 0.0000
Al 0.0000 0.5000 0.5000
Al 0.5000 0.0000 0.5000

**Fermi-level density of states**: 7.365 states/eV/cell
**Calculated total energy**: -27.3 eV/f.u.
**Energy of formation**: -0.22 eV/atom
**Polymorph energy (0 for the lowest one)**: 0.023 eV/atom
**Space group**: P4/mmm

Compound: Sr2TePb2
Source: Alexandria via LeMat-Bulk
Functional: PBE-GGA
Structure: relaxed

a = 8.8327 Å, b = 8.8327 Å, c = 5.0304 Å
α = 90.00°, β = 90.00°, γ = 90.00°
Element x y z (fractional)
Sr 0.1834 0.3166 0.0000
Sr 0.3166 0.8166 0.0000
Sr 0.6834 0.1834 0.0000
Sr 0.8166 0.6834 0.0000
Te 0.0000 0.0000 0.0000
Te 0.5000 0.5000 0.0000
Pb 0.1164 0.6164 0.5000
Pb 0.3836 0.1164 0.5000
Pb 0.6164 0.8836 0.5000
Pb 0.8836 0.3836 0.5000

**Fermi-level density of states**: 8.907 states/eV/cell
**Calculated total energy**: -16.9 eV/f.u.
**Polymorph energy (0 for the lowest one)**: 0.009 eV/atom
**Formation energy (no corrections)**: -0.59 eV/atom
**Space group**: P4/mbm

Compound: Ac2Ce3PrSe6
Source: Alexandria via LeMat-Bulk
Functional: PBE-GGA
Structure: relaxed

a = 9.6533 Å, b = 9.6533 Å, c = 8.6669 Å
α = 103.52°, β = 103.52°, γ = 25.66°
Element x y z (fractional)
Ac 0.1650 0.1650 0.3312
Ac 0.8350 0.8350 0.6688
Ce 0.1673 0.1673 0.8347
Ce 0.5000 0.5000 0.5000
Ce 0.8327 0.8327 0.1653
Pr 0.5000 0.5000 0.0000
Se 0.0047 0.0047 0.7494
Se 0.3330 0.3330 0.9277
Se 0.3364 0.3364 0.4074
Se 0.6636 0.6636 0.5926
Se 0.6670 0.6670 0.0723
Se 0.9953 0.9953 0.2506

**Fermi-level density of states**: 20.623 states/eV/cell
**Calculated total energy**: -73.6 eV/f.u.
**Formation energy (no corrections)**: -1.83 eV/atom
**Space group**: C2/m

Compound: ScNi2Mo
Source: Alexandria via LeMat-Bulk
Functional: PBE-GGA
Structure: relaxed

a = 8.6506 Å, b = 8.6506 Å, c = 8.6506 Å
α = 18.77°, β = 18.77°, γ = 18.77°
Element x y z (fractional)
Sc 0.0000 0.0000 0.0000
Ni 0.2482 0.2482 0.2482
Ni 0.7518 0.7518 0.7518
Mo 0.5000 0.5000 0.5000

**Fermi-level density of states**: 6.039 states/eV/cell
**Calculated total energy**: -28.0 eV/f.u.
**Energy of formation**: 0.19 eV/atom
**Polymorph energy (0 for the lowest one)**: 0.335 eV/atom
**Space group**: R-3m

Compound: Li2Ca3Pd7
Source: Alexandria via LeMat-Bulk
Functional: PBE-GGA
Structure: relaxed

a = 9.0444 Å, b = 9.0444 Å, c = 9.0444 Å
α = 35.28°, β = 35.28°, γ = 35.28°
Element x y z (fractional)
Li 0.1653 0.1653 0.1653
Li 0.8347 0.8347 0.8347
Ca 0.3600 0.3600 0.3600
Ca 0.5000 0.5000 0.5000
Ca 0.6400 0.6400 0.6400
Pd 0.0000 0.0000 0.0000
Pd 0.0818 0.0818 0.5767
Pd 0.0818 0.5767 0.0818
Pd 0.4233 0.9182 0.9182
Pd 0.5767 0.0818 0.0818
Pd 0.9182 0.4233 0.9182
Pd 0.9182 0.9182 0.4233

**Fermi-level density of states**: 4.730 states/eV/cell
**Calculated total energy**: -53.5 eV/f.u.
**Energy of formation**: -0.61 eV/atom
**Space group**: R-3m

Compound: Zr6CrOs5
Source: Alexandria via LeMat-Bulk
Functional: PBE-GGA
Structure: relaxed

a = 8.0357 Å, b = 8.0357 Å, c = 4.6470 Å
α = 106.67°, β = 106.67°, γ = 48.13°
Element x y z (fractional)
Zr 0.0832 0.5846 0.3339
Zr 0.2484 0.7516 0.0000
Zr 0.4154 0.9168 0.6661
Zr 0.5846 0.0832 0.3339
Zr 0.7516 0.2484 0.0000
Zr 0.9168 0.4154 0.6661
Cr 0.0000 0.0000 0.5000
Os 0.1662 0.1662 0.1662
Os 0.3333 0.3333 0.8333
Os 0.5000 0.5000 0.5000
Os 0.6667 0.6667 0.1667
Os 0.8338 0.8338 0.8338

**Fermi-level density of states**: 7.415 states/eV/cell
**Calculated total energy**: -122.1 eV/f.u.
**Energy of formation**: -0.42 eV/atom
**Space group**: C2/m

Compound: TmFeCo
Source: Alexandria via LeMat-Bulk
Functional: PBE-GGA
Structure: relaxed

a = 5.0504 Å, b = 5.0504 Å, c = 5.0504 Å
α = 120.02°, β = 118.24°, γ = 91.52°
Element x y z (fractional)
Tm 0.3755 0.1255 0.2500
Tm 0.6245 0.8745 0.7500
Fe 0.0000 0.0000 0.5000
Fe 0.0000 0.5000 0.0000
Co 0.0000 0.5000 0.5000
Co 0.5000 0.5000 0.0000

**Fermi-level density of states**: 4.359 states/eV/cell
**Calculated total energy**: -20.7 eV/f.u.
**Energy of formation**: -0.23 eV/atom
**Space group**: Imma

Compound: Zr3BeB
Source: Alexandria via LeMat-Bulk
Functional: PBE-GGA
Structure: relaxed

a = 4.5797 Å, b = 4.5797 Å, c = 4.5797 Å
α = 90.00°, β = 90.00°, γ = 90.00°
Element x y z (fractional)
Zr 0.0000 0.0000 0.5000
Zr 0.0000 0.5000 0.0000
Zr 0.5000 0.0000 0.0000
Be 0.5000 0.5000 0.5000
B 0.0000 0.0000 0.0000

**Fermi-level density of states**: 3.942 states/eV/cell
**Calculated total energy**: -35.9 eV/f.u.
**Energy of formation**: 0.03 eV/atom
**Polymorph energy (0 for the lowest one)**: 0.000 eV/atom
**Space group**: Pm-3m

Compound: Dy8AlNi2
Source: Alexandria via LeMat-Bulk
Functional: PBE-GGA
Structure: relaxed

a = 7.8821 Å, b = 7.8821 Å, c = 5.2809 Å
α = 97.96°, β = 97.96°, γ = 114.14°
Element x y z (fractional)
Dy 0.0746 0.3279 0.5743
Dy 0.2453 0.7547 0.0000
Dy 0.3279 0.0746 0.5743
Dy 0.3865 0.3865 0.1921
Dy 0.6135 0.6135 0.8079
Dy 0.6721 0.9254 0.4257
Dy 0.7547 0.2453 0.0000
Dy 0.9254 0.6721 0.4257
Al 0.0000 0.0000 0.0000
Ni 0.3061 0.6939 0.5000
Ni 0.6939 0.3061 0.5000

**Fermi-level density of states**: 13.481 states/eV/cell
**Calculated total energy**: -53.6 eV/f.u.
**Energy of formation**: -0.14 eV/atom
**Space group**: C2/m

Compound: Dy2Zn5Pd4
Source: Alexandria via LeMat-Bulk
Functional: PBE-GGA
Structure: relaxed

a = 9.5678 Å, b = 8.8365 Å, c = 5.2306 Å
α = 81.35°, β = 65.93°, γ = 32.72°
Element x y z (fractional)
Dy 0.1400 0.1400 0.8600
Dy 0.8600 0.8600 0.1400
Zn 0.0000 0.0000 0.5000
Zn 0.2500 0.2500 0.2500
Zn 0.5000 0.5000 0.0000
Zn 0.5000 0.5000 0.5000
Zn 0.7500 0.7500 0.7500
Pd 0.2099 0.5348 0.4652
Pd 0.4652 0.7901 0.2099
Pd 0.5348 0.2099 0.7901
Pd 0.7901 0.4652 0.5348

**Fermi-level density of states**: 5.746 states/eV/cell
**Calculated total energy**: -43.0 eV/f.u.
**Energy of formation**: -0.60 eV/atom
**Space group**: Fmmm

Compound: TbZn3Ni2
Source: Alexandria via LeMat-Bulk
Functional: PBE-GGA
Structure: relaxed

a = 7.2381 Å, b = 7.2381 Å, c = 7.2381 Å
α = 48.23°, β = 48.23°, γ = 48.23°
Element x y z (fractional)
Tb 0.2245 0.2245 0.2245
Tb 0.7755 0.7755 0.7755
Zn 0.2513 0.7281 0.7281
Zn 0.2719 0.2719 0.7487
Zn 0.2719 0.7487 0.2719
Zn 0.7281 0.2513 0.7281
Zn 0.7281 0.7281 0.2513
Zn 0.7487 0.2719 0.2719
Ni 0.0000 0.0000 0.0000
Ni 0.0000 0.5000 0.5000
Ni 0.5000 0.0000 0.5000
Ni 0.5000 0.5000 0.0000

**Fermi-level density of states**: 7.905 states/eV/cell
**Calculated total energy**: -20.7 eV/f.u.
**Energy of formation**: -0.11 eV/atom
**Space group**: R-3m

Compound: Th2Tl5Br12
Source: Alexandria via LeMat-Bulk
Functional: PBE-GGA
Structure: relaxed

a = 10.1220 Å, b = 10.1220 Å, c = 11.3557 Å
α = 107.77°, β = 107.77°, γ = 48.79°
Element x y z (fractional)
Th 0.2312 0.7688 0.0000
Th 0.7688 0.2312 0.0000
Tl 0.0000 0.0000 0.5000
Tl 0.2860 0.2860 0.6213
Tl 0.3236 0.3236 0.2411
Tl 0.6764 0.6764 0.7589
Tl 0.7140 0.7140 0.3787
Br 0.0045 0.0045 0.1969
Br 0.0904 0.5893 0.9222
Br 0.1087 0.6007 0.4520
Br 0.3993 0.8913 0.5480
Br 0.4107 0.9096 0.0778
Br 0.4952 0.4952 0.8226
Br 0.5048 0.5048 0.1774
Br 0.5893 0.0904 0.9222
Br 0.6007 0.1087 0.4520
Br 0.8913 0.3993 0.5480
Br 0.9096 0.4107 0.0778
Br 0.9955 0.9955 0.8031

**Calculated total energy**: -69.7 eV/f.u.
**Formation energy (no corrections)**: -1.21 eV/atom
**Space group**: C2/m

Compound: In4Ga5Sn
Source: Alexandria via LeMat-Bulk
Functional: PBE-GGA
Structure: relaxed

a = 8.8271 Å, b = 9.0873 Å, c = 5.8840 Å
α = 90.00°, β = 90.00°, γ = 90.00°
Element x y z (fractional)
In 0.0486 0.2500 0.1339
In 0.2500 0.5287 0.9373
In 0.2500 0.9713 0.9373
In 0.4514 0.2500 0.1339
In 0.5486 0.7500 0.8661
In 0.7500 0.0287 0.0627
In 0.7500 0.4713 0.0627
In 0.9514 0.7500 0.8661
Ga 0.0549 0.5866 0.3359
Ga 0.0549 0.9134 0.3359
Ga 0.2500 0.7500 0.5852
Ga 0.4451 0.5866 0.3359
Ga 0.4451 0.9134 0.3359
Ga 0.5549 0.0866 0.6641
Ga 0.5549 0.4134 0.6641
Ga 0.7500 0.2500 0.4148
Ga 0.9451 0.0866 0.6641
Ga 0.9451 0.4134 0.6641
Sn 0.2500 0.2500 0.6030
Sn 0.7500 0.7500 0.3970

**Fermi-level density of states**: 5.857 states/eV/cell
**Calculated total energy**: -29.7 eV/f.u.
**Energy of formation**: 0.04 eV/atom
**Space group**: Pmmn

Compound: DyEr2Zr
Source: Alexandria via LeMat-Bulk
Functional: PBE-GGA
Structure: relaxed

a = 11.2741 Å, b = 11.2741 Å, c = 11.2741 Å
α = 17.58°, β = 17.58°, γ = 17.58°
Element x y z (fractional)
Dy 0.0000 0.0000 0.0000
Er 0.2458 0.2458 0.2458
Er 0.4216 0.4216 0.4216
Zr 0.8339 0.8339 0.8339

**Fermi-level density of states**: 6.528 states/eV/cell
**Calculated total energy**: -22.0 eV/f.u.
**Energy of formation**: 0.06 eV/atom
**Polymorph energy (0 for the lowest one)**: 0.012 eV/atom
**Space group**: R3m

Compound: Mg6TlIn12
Source: Alexandria via LeMat-Bulk
Functional: PBE-GGA
Structure: relaxed

a = 8.4587 Å, b = 8.4587 Å, c = 8.4587 Å
α = 106.53°, β = 106.53°, γ = 106.53°
Element x y z (fractional)
Mg 0.3011 0.6944 0.6944
Mg 0.3056 0.3056 0.6989
Mg 0.3056 0.6989 0.3056
Mg 0.6944 0.3011 0.6944
Mg 0.6944 0.6944 0.3011
Mg 0.6989 0.3056 0.3056
Tl 0.0000 0.0000 0.0000
In 0.1087 0.3530 0.3530
In 0.1140 0.5000 0.8860
In 0.1140 0.8860 0.5000
In 0.3530 0.1087 0.3530
In 0.3530 0.3530 0.1087
In 0.5000 0.1140 0.8860
In 0.5000 0.8860 0.1140
In 0.6470 0.6470 0.8913
In 0.6470 0.8913 0.6470
In 0.8860 0.1140 0.5000
In 0.8860 0.5000 0.1140
In 0.8913 0.6470 0.6470

**Fermi-level density of states**: 6.842 states/eV/cell
**Calculated total energy**: -44.5 eV/f.u.
**Energy of formation**: 0.02 eV/atom
**Polymorph energy (0 for the lowest one)**: 0.018 eV/atom
**Space group**: R-3m

Compound: Pr3Dy3Y2
Source: Alexandria via LeMat-Bulk
Functional: PBE-GGA
Structure: relaxed

a = 8.5881 Å, b = 8.5881 Å, c = 8.5881 Å
α = 139.14°, β = 139.13°, γ = 59.16°
Element x y z (fractional)
Pr 0.0000 0.0000 0.0000
Pr 0.3724 0.8724 0.5000
Pr 0.6276 0.1276 0.5000
Dy 0.1247 0.6247 0.5000
Dy 0.5000 0.5000 0.0000
Dy 0.8753 0.3753 0.5000
Y 0.2513 0.2513 0.0000
Y 0.7487 0.7487 0.0000

**Fermi-level density of states**: 17.548 states/eV/cell
**Calculated total energy**: -40.1 eV/f.u.
**Energy of formation**: 0.12 eV/atom
**Polymorph energy (0 for the lowest one)**: 0.098 eV/atom
**Space group**: Immm

Compound: Sr2TaAgS
Source: Alexandria via LeMat-Bulk
Functional: PBE-GGA
Structure: relaxed

a = 6.1725 Å, b = 6.1725 Å, c = 4.6161 Å
α = 90.00°, β = 90.00°, γ = 90.00°
Element x y z (fractional)
Sr 0.0000 0.5000 0.0000
Sr 0.5000 0.0000 0.0000
Ta 0.0000 0.0000 0.0000
Ag 0.5000 0.5000 0.5000
S 0.0000 0.0000 0.5000

**Fermi-level density of states**: 5.270 states/eV/cell
**Calculated total energy**: -20.9 eV/f.u.
**Formation energy (no corrections)**: 0.27 eV/atom
**Space group**: P4/mmm

Compound: TaWAu2
Source: Alexandria via LeMat-Bulk
Functional: PBE-GGA
Structure: relaxed

a = 5.1655 Å, b = 5.1655 Å, c = 5.1655 Å
α = 134.72°, β = 134.72°, γ = 65.97°
Element x y z (fractional)
Ta 0.0000 0.0000 0.0000
W 0.5000 0.5000 0.0000
Au 0.2500 0.7500 0.5000
Au 0.7500 0.2500 0.5000

**Fermi-level density of states**: 3.692 states/eV/cell
**Calculated total energy**: -30.5 eV/f.u.
**Energy of formation**: 0.21 eV/atom
**Polymorph energy (0 for the lowest one)**: 0.139 eV/atom
**Space group**: I4/mmm

Compound: Li3PuI6
Source: Alexandria via LeMat-Bulk
Functional: PBE-GGA
Structure: relaxed

a = 8.5515 Å, b = 8.6079 Å, c = 8.6086 Å
α = 60.72°, β = 60.51°, γ = 60.51°
Element x y z (fractional)
Li 0.0000 0.0000 0.0000
Li 0.0000 0.0000 0.5000
Li 0.0000 0.5000 0.0000
Pu 0.5000 0.5000 0.5000
I 0.2250 0.2701 0.7706
I 0.2289 0.7745 0.2663
I 0.2383 0.7553 0.7555
I 0.7617 0.2447 0.2445
I 0.7711 0.2255 0.7337
I 0.7750 0.7299 0.2294

**Fermi-level density of states**: 13.105 states/eV/cell
**Calculated total energy**: -40.0 eV/f.u.
**Polymorph energy (0 for the lowest one)**: 0.000 eV/atom
**Formation energy (no corrections)**: -1.07 eV/atom
**Space group**: P-1

Compound: YPS4Br
Source: Alexandria via LeMat-Bulk
Functional: PBE-GGA
Structure: relaxed

a = 6.9046 Å, b = 6.9046 Å, c = 8.8655 Å
α = 95.62°, β = 95.62°, γ = 78.97°
Element x y z (fractional)
Y 0.1944 0.1944 0.0619
Y 0.8056 0.8056 0.9381
P 0.3925 0.3925 0.7612
P 0.6075 0.6075 0.2388
S 0.1567 0.5116 0.8933
S 0.3093 0.3093 0.5462
S 0.4238 0.4238 0.2770
S 0.4884 0.8433 0.1067
S 0.5116 0.1567 0.8933
S 0.5762 0.5762 0.7230
S 0.6907 0.6907 0.4538
S 0.8433 0.4884 0.1067
Br 0.0207 0.0207 0.7886
Br 0.9793 0.9793 0.2114

**Fermi-level density of states**: 3.771 states/eV/cell
**Calculated total energy**: -35.3 eV/f.u.
**Formation energy (no corrections)**: -0.75 eV/atom
**Space group**: C2/m